(a)
The following is a DFT calculation (PBE) of a relaxed structure of Y3TaOs.

POSCAR file:
```
Y3TaOs
1.0
5.2654 0.0000 0.0000
0.0000 5.2654 0.0000
0.0000 0.0000 5.2654
Y Os Ta
3 1 1
direct
0.0000 0.5000 0.0000 Y
0.0000 0.0000 0.5000 Y
0.5000 0.0000 0.0000 Y
0.5000 0.5000 0.5000 Os
0.0000 0.0000 0.0000 Ta
```



(b)
The following is a DFT calculation (PBE) of a relaxed structure of Y3TaOs.

POSCAR file:
```
Y3TaOs
1.0
-3.6872 3.5751 1.3610
-2.4534 -3.6604 2.9684
2.9351 1.4316 4.1911
Y Os Ta
3 1 1
direct
0.0000 0.5000 0.0000 Y
0.0000 0.0000 0.5000 Y
0.5000 0.0000 0.0000 Y
0.0000 0.0000 0.0000 Os
0.5000 0.5000 0.5000 Ta
```



Pick (b): it beats the second-best structure by 762 meV per atom.



(a)
The following is a DFT calculation (PBE) of a relaxed structure of Ta3ZnOs.

POSCAR file:
```
Ta3ZnOs
1.0
4.8477 0.0000 0.0000
0.0000 4.8477 0.0000
0.0000 0.0000 4.8477
Zn Os Ta
1 1 3
direct
0.5000 0.5000 0.5000 Zn
0.0000 0.0000 0.0000 Os
0.0000 0.5000 0.0000 Ta
0.0000 0.0000 0.5000 Ta
0.5000 0.0000 0.0000 Ta
```



(b)
The following is a DFT calculation (PBE) of a relaxed structure of Ta3ZnOs.

POSCAR file:
```
Ta3ZnOs
1.0
-1.7308 4.2552 -0.0439
-1.1061 -0.4956 -4.4312
-4.1092 -1.6589 1.2113
Zn Os Ta
1 1 3
direct
0.0000 0.0000 0.0000 Zn
0.5000 0.5000 0.5000 Os
0.0000 0.5000 0.0000 Ta
0.0000 0.0000 0.5000 Ta
0.5000 0.0000 0.0000 Ta
```



Pick (a): it beats the second-best structure by 405 meV per atom.



(a)
The following is a DFT calculation (PBE) of a relaxed structure of TaZnOs3.

POSCAR file:
```
TaZnOs3
1.0
4.7598 0.0000 0.0000
0.0000 4.7598 0.0000
0.0000 0.0000 4.7598
Zn Os Ta
1 3 1
direct
0.5000 0.5000 0.5000 Zn
0.0000 0.5000 0.0000 Os
0.0000 0.0000 0.5000 Os
0.5000 0.0000 0.0000 Os
0.0000 0.0000 0.0000 Ta
```



(b)
The following is a DFT calculation (PBE) of a relaxed structure of TaZnOs3.

POSCAR file:
```
TaZnOs3
1.0
4.4132 0.0000 0.0000
0.0000 4.4132 0.0000
0.0000 0.0000 4.4132
Zn Os Ta
1 3 1
direct
0.0000 0.0000 0.0000 Zn
0.0000 0.5000 0.0000 Os
0.0000 0.0000 0.5000 Os
0.5000 0.0000 0.0000 Os
0.5000 0.5000 0.5000 Ta
```



Pick (b): it beats the second-best structure by 629 meV per atom.



(a)
The following is a DFT calculation (PBE) of a relaxed structure of TaZn2Os.

POSCAR file:
```
TaZn2Os
1.0
4.4173 0.0000 0.0000
2.2087 3.8255 0.0000
2.2087 1.2752 3.6067
Os Ta Zn
1 1 2
direct
0.5000 0.5000 0.5000 Os
0.7500 0.7500 0.7500 Ta
0.0000 0.0000 0.0000 Zn
0.2500 0.2500 0.2500 Zn
```



(b)
The following is a DFT calculation (PBE) of a relaxed structure of TaZn2Os.

POSCAR file:
```
TaZn2Os
1.0
-3.4245 -2.9607 -2.1067
-2.4437 -2.9587 3.1945
1.0674 4.8736 -0.1993
Os Ta Zn
1 1 2
direct
0.2500 0.7500 0.5000 Os
0.7500 0.2500 0.5000 Ta
0.0000 0.0000 0.0000 Zn
0.5000 0.5000 0.0000 Zn
```



Pick (a): it beats the second-best structure by 88 meV per atom.



(a)
The following is a DFT calculation (PBE) of a relaxed structure of TaZn3Os.

POSCAR file:
```
TaZn3Os
1.0
4.8661 0.0000 0.0000
0.0000 4.8661 0.0000
0.0000 0.0000 4.8661
Zn Os Ta
3 1 1
direct
0.0000 0.5000 0.0000 Zn
0.0000 0.0000 0.5000 Zn
0.5000 0.0000 0.0000 Zn
0.5000 0.5000 0.5000 Os
0.0000 0.0000 0.0000 Ta
```



(b)
The following is a DFT calculation (PBE) of a relaxed structure of TaZn3Os.

POSCAR file:
```
TaZn3Os
1.0
-3.1699 -3.0279 -1.4912
2.5463 -3.4881 1.6701
-2.2154 0.3233 4.0530
Zn Os Ta
3 1 1
direct
0.0000 0.5000 0.0000 Zn
0.0000 0.0000 0.5000 Zn
0.5000 0.0000 0.0000 Zn
0.0000 0.0000 0.0000 Os
0.5000 0.5000 0.5000 Ta
```



Pick (b): it beats the second-best structure by 774 meV per atom.



(a)
The following is a DFT calculation (PBE) of a relaxed structure of ZrTa2Os2.

POSCAR file:
```
ZrTa2Os2
1.0
7.7710 0.0000 0.0000
0.0000 7.7710 0.0000
0.0000 0.0000 2.9520
Os Zr Ta
4 2 4
direct
0.1503 0.6503 0.5000 Os
0.6503 0.8497 0.5000 Os
0.8497 0.3497 0.5000 Os
0.3497 0.1503 0.5000 Os
0.0000 0.0000 0.0000 Zr
0.5000 0.5000 0.0000 Zr
0.3537 0.8537 0.0000 Ta
0.8537 0.6463 0.0000 Ta
0.6463 0.1463 0.0000 Ta
0.1463 0.3537 0.0000 Ta
```



(b)
The following is a DFT calculation (PBE) of a relaxed structure of ZrTa2Os2.

POSCAR file:
```
ZrTa2Os2
1.0
4.3022 0.0000 0.0000
0.0000 4.3022 0.0000
2.1511 2.1511 5.3521
Os Zr Ta
2 1 2
direct
0.3847 0.3847 0.2306 Os
0.6153 0.6153 0.7694 Os
0.0000 0.0000 0.0000 Zr
0.7500 0.2500 0.5000 Ta
0.2500 0.7500 0.5000 Ta
```



Pick (b): it beats the second-best structure by 18 meV per atom.



(a)
The following is a DFT calculation (PBE) of a relaxed structure of Zr3TaOs.

POSCAR file:
```
Zr3TaOs
1.0
-2.0651 -4.2287 -1.6740
3.4227 -0.2344 -3.6302
2.9948 -2.6480 2.9946
Os Zr Ta
1 3 1
direct
0.0000 0.0000 0.0000 Os
0.0000 0.5000 0.0000 Zr
0.0000 0.0000 0.5000 Zr
0.5000 0.0000 0.0000 Zr
0.5000 0.5000 0.5000 Ta
```



(b)
The following is a DFT calculation (PBE) of a relaxed structure of Zr3TaOs.

POSCAR file:
```
Zr3TaOs
1.0
-0.2792 4.7626 1.4369
-4.7974 0.1229 -1.3397
-1.3160 -1.4586 4.5788
Os Zr Ta
1 3 1
direct
0.5000 0.5000 0.5000 Os
0.0000 0.5000 0.0000 Zr
0.0000 0.0000 0.5000 Zr
0.5000 0.0000 0.0000 Zr
0.0000 0.0000 0.0000 Ta
```



Pick (a): it beats the second-best structure by 726 meV per atom.